(1)
# TlCo2AgBr8 (PBE, relaxed)
# Raw formation energy in eV per atom: -0.361
data_TlCo2AgBr8
_chemical_formula_sum 'Tl3 Co6 Ag3 Br24'
_space_group_name_H-M_alt 'R -3'
_space_group_IT_number 148
_space_group_name_Hall '-R 3'
_cell_length_a 6.7297
_cell_length_b 6.7297
_cell_length_c 28.9282
_cell_angle_alpha 90.00
_cell_angle_beta 90.00
_cell_angle_gamma 120.00
loop_
_atom_site_label
_atom_site_fract_x
_atom_site_fract_y
_atom_site_fract_z
Tl1 0.0000 0.0000 0.0000
Co1 0.0000 0.0000 0.2496
Ag1 0.0000 0.0000 0.5000
Br1 0.0000 0.0000 0.3298
Br2 0.0024 0.6580 0.5583



(2)
# Al6ZnRe2 (PBE, relaxed)
# Formation energy in eV per atom: -0.074
data_Al6ZnRe2
_chemical_formula_sum 'Al12 Zn2 Re4'
_space_group_name_H-M_alt 'C 1 2/m 1'
_space_group_IT_number 12
_cell_length_a 8.259
_cell_length_b 4.639
_cell_length_c 7.279
_cell_angle_alpha 90.00
_cell_angle_beta 99.97
_cell_angle_gamma 90.00
loop_
_space_group_symop_operation_xyz
'x,y,z'
'-x,-y,-z'
'-x,y,-z'
'x,-y,z'
'x+1/2,y+1/2,z'
'-x+1/2,-y+1/2,-z'
'-x+1/2,y+1/2,-z'
'x+1/2,-y+1/2,z'
loop_
_atom_site_label
_atom_site_fract_x
_atom_site_fract_y
_atom_site_fract_z
Al1 0.119 0.000 0.173
Al2 0.156 0.500 0.501
Al3 0.217 0.000 0.830
Zn1 0.000 0.000 0.500
Re1 0.047 0.500 0.845



(3)
# NbSn3Pd (PBE, relaxed)
# Distance to the lowest polymorph of the same formula in meV per atom: 0
# Formation energy in eV per atom: 0.610
data_NbSn3Pd
_chemical_formula_sum 'Nb1 Sn3 Pd1'
_space_group_name_H-M_alt 'P m -3 m'
_space_group_IT_number 221
_space_group_name_Hall '-P 4 2 3'
_cell_length_a 5.326
_cell_length_b 5.326
_cell_length_c 5.326
_cell_angle_alpha 90.00
_cell_angle_beta 90.00
_cell_angle_gamma 90.00
loop_
_atom_site_label
_atom_site_fract_x
_atom_site_fract_y
_atom_site_fract_z
Nb1 0.000 0.000 0.000
Sn1 0.000 0.000 0.500
Pd1 0.500 0.500 0.500



(4)
# Te3Br (PBE, relaxed)
# Distance to the lowest polymorph of the same formula in meV per atom: 0
# Raw formation energy in eV per atom: -0.102
data_Te3Br
_chemical_formula_sum 'Te6 Br2'
_space_group_name_H-M_alt 'P -1'
_space_group_IT_number 2
_cell_length_a 6.854
_cell_length_b 6.866
_cell_length_c 7.574
_cell_angle_alpha 108.00
_cell_angle_beta 94.82
_cell_angle_gamma 103.87
loop_
_space_group_symop_operation_xyz
'x,y,z'
'-x,-y,-z'
loop_
_atom_site_label
_atom_site_fract_x
_atom_site_fract_y
_atom_site_fract_z
Te1 0.037 0.165 0.412
Te2 0.312 0.680 0.432
Te3 0.335 0.480 0.714
Br1 0.318 0.184 0.926



Values for uncorrected energy, eV for the cell shown, ordered as above
-111.42 -98.58 -24.22 -23.01